VASP calculation (PBE) on a geometry-optimized Cr2CoPt2 structure.

Geometry as POSCAR:
```
Cr2CoPt2
1.0
7.282 0.000 0.000
0.000 7.282 0.000
0.000 0.000 2.653
Cr Co Pt
4 2 4
Cartesian
1.228 2.413 0.000 Cr
2.413 6.054 0.000 Cr
4.869 1.228 0.000 Cr
6.054 4.869 0.000 Cr
0.000 0.000 1.327 Co
3.641 3.641 1.327 Co
0.954 4.595 1.327 Pt
2.687 0.954 1.327 Pt
4.595 6.328 1.327 Pt
6.328 2.687 1.327 Pt
```

## Properties
- energy relative to the elements (eV per formula unit) = 1.22
- DOS(E_F) (states/eV per atom) = 0.991